(1)
Entry from Alexandria: an optimized crystal structure of Na3CaPd2O6 (GGA-PBE).

abc: 5.613 5.613 5.754
angles: 99.16 99.16 120.63
Fractional positions:
Na: 0.000 0.000 0.000
Na: 0.332 0.668 0.000
Na: 0.668 0.332 0.000
Ca: 0.500 0.500 0.500
Pd: 0.168 0.832 0.500
Pd: 0.832 0.168 0.500
O: 0.067 0.425 0.290
O: 0.210 0.210 0.712
O: 0.425 0.067 0.290
O: 0.575 0.933 0.710
O: 0.790 0.790 0.288
O: 0.933 0.575 0.710

Computed properties:
Electronic total energy, eV/atom: -5.140
Formation energy from raw total energies, eV/atom: -1.30
Space-group type: C2/m, No. 12

=====

(2)
Entry from Alexandria: an optimized crystal structure of BaNa2SrZn (GGA-PBE).

abc: 5.960 5.960 6.304
angles: 90.00 90.00 90.00
Fractional positions:
Ba: 0.000 0.000 0.000
Na: 0.000 0.500 0.500
Na: 0.500 0.000 0.500
Sr: 0.500 0.500 0.000
Zn: 0.000 0.000 0.500

Computed properties:
Polymorph energy (0 for the lowest one), meV per atom: 18
Electronic total energy, eV/atom: -1.395
Space-group type: P4/mmm, No. 123
E_form, meV/atom: 108

=====

(3)
Entry from Alexandria: an optimized crystal structure of InSbBr2 (GGA-PBE).

abc: 3.510 4.609 7.014
angles: 90.00 90.00 90.00
Fractional positions:
In: 0.000 0.000 0.000
Sb: 0.000 0.000 0.500
Br: 0.500 0.500 0.258
Br: 0.500 0.500 0.742

Computed properties:
Polymorph energy (0 for the lowest one), meV per atom: 303
Electronic total energy, eV/atom: -2.598
Formation energy from raw total energies, eV/atom: -0.05
Space-group type: Pmmm, No. 47

=====

Question: Among the records above, which one has the highest electronic total energy?
Answer: BaNa2SrZn